## Hf3BiH2 (GGA-PBE)

Data for an optimized crystal structure of Hf3BiH2.

abc: 3.276 6.160 10.343
angles: 101.42 90.00 90.00
Fractional positions:
Hf: 0.250 0.410 0.115
H: 0.750 0.615 0.084
Bi: 0.750 0.240 0.636
Hf: 0.750 0.717 0.614
Hf: 0.250 0.005 0.868
H: 0.250 0.880 0.666
H: 0.250 0.385 0.916
H: 0.750 0.120 0.334
Bi: 0.250 0.760 0.364
Hf: 0.250 0.283 0.386
Hf: 0.750 0.590 0.885
Hf: 0.750 0.995 0.132

Results
As for the space group: P2_1/m, No. 11. The uncorrected energy is -6.89 eV/atom.

## Pm5BPb2 (GGA-PBE)

Data for an optimized crystal structure of Pm5BPb2.

abc: 5.441 8.805 12.805
angles: 90.00 90.00 108.00
Fractional positions:
Pm: 0.308 0.617 0.750
Pm: 0.933 0.866 0.890
Pm: 0.283 0.567 0.084
Pm: 0.717 0.433 0.916
Pm: 0.067 0.134 0.110
Pb: 0.872 0.744 0.375
Pb: 0.872 0.744 0.125
Pm: 0.067 0.134 0.390
Pm: 0.717 0.433 0.584
Pm: 0.933 0.866 0.610
Pm: 0.283 0.567 0.416
Pb: 0.128 0.256 0.625
B: 0.172 0.344 0.250
B: 0.828 0.656 0.750
Pm: 0.692 0.383 0.250
Pb: 0.128 0.256 0.875

Results
As for the space group: Cmcm, No. 63. The uncorrected energy is -4.66 eV/atom.

## ScFe2 (GGA-PBE)

Data for an optimized crystal structure of ScFe2.

abc: 5.250 4.282 7.711
angles: 90.00 90.00 90.00
Site moments in Bohr magnetons follow the coordinates.
Fractional positions:
Fe: 0.024 0.250 0.277  2.28
Sc: 0.329 0.750 0.412  -0.35
Fe: 0.476 0.750 0.777  2.28
Fe: 0.654 0.250 0.924  1.86
Sc: 0.171 0.250 0.912  -0.35
Fe: 0.346 0.750 0.076  1.86
Fe: 0.154 0.250 0.576  1.86
Fe: 0.846 0.750 0.424  1.86
Sc: 0.829 0.750 0.088  -0.35
Sc: 0.671 0.250 0.588  -0.35
Fe: 0.524 0.250 0.223  2.28
Fe: 0.976 0.750 0.723  2.28

Results
As for the space group: Pnma, No. 62. The uncorrected energy is -7.74 eV/atom.

## Ti6MnPb3 (GGA-PBE)

Data for an optimized crystal structure of Ti6MnPb3.

abc: 4.709 8.382 11.226
angles: 122.09 90.00 90.00
Site moments in Bohr magnetons follow the coordinates.
Fractional positions:
Mn: 0.250 0.369 0.400  -0.01
Ti: 0.250 0.527 0.664  0.01
Ti: 0.750 0.628 0.078  0.46
Ti: 0.750 0.289 0.486  0.04
Ti: 0.250 0.047 0.321  -0.03
Mn: 0.750 0.631 0.600  -0.01
Pb: 0.250 0.581 0.219  0.00
Ti: 0.750 0.473 0.336  0.01
Pb: 0.750 0.875 0.386  0.00
Pb: 0.250 0.787 0.007  -0.01
Ti: 0.250 0.372 0.922  0.46
Ti: 0.250 0.711 0.514  0.04
Ti: 0.750 0.813 0.863  0.01
Ti: 0.750 0.058 0.198  -0.06
Ti: 0.750 0.953 0.679  -0.03
Ti: 0.250 0.942 0.802  -0.06
Pb: 0.750 0.213 0.993  -0.01
Ti: 0.250 0.187 0.137  0.01
Pb: 0.750 0.419 0.781  0.00
Pb: 0.250 0.125 0.614  0.00

Results
The value obtained for the energy above the lowest structure with this stoichiometry is 0.000 eV/atom. As for the space group: P2_1/m, No. 11. The uncorrected energy is -6.76 eV/atom.

## NdCd6In (GGA-PBE)

Data for an optimized crystal structure of NdCd6In.

abc: 4.857 6.460 6.460
angles: 105.91 90.00 90.00
Fractional positions:
Cd: 0.500 0.937 0.063
Cd: 0.000 0.654 0.955
Nd: 0.000 0.141 0.859
Cd: 0.000 0.560 0.440
Cd: 0.500 0.854 0.558
Cd: 0.500 0.442 0.146
Cd: 0.000 0.045 0.346
In: 0.500 0.368 0.632

Results
As for the space group: Amm2, No. 38. The uncorrected energy is -1.78 eV/atom.

## PrPaCo (GGA-PBE)

Data for an optimized crystal structure of PrPaCo.

abc: 4.870 4.871 6.307
angles: 90.01 90.00 90.00
Fractional positions:
Co: 0.314 0.366 0.781
Pa: 0.814 0.366 0.920
Pr: 0.314 0.366 0.313
Pr: 0.814 0.866 0.526
Co: 0.814 0.867 0.058
Pa: 0.314 0.866 0.920

Results
The value obtained for the energy above the lowest structure with this stoichiometry is 0.000 eV/atom. As for the space group: P4/nmm, No. 129. The uncorrected energy is -7.30 eV/atom.